(1)
YHf2TiO: relaxed, GGA-PBE.

Cell lengths 4.4489, 4.4489, 4.7582 Å; angles 90.00, 90.00, 90.00 degrees
With the nearest neighbours (Å) after each atom.
Fractional coordinates of all 5 atoms:
Y1 0.0000 0.0000 0.0000  2 O 2.38
Hf1 0.0000 0.5000 0.5000  2 O 2.22
Hf2 0.5000 0.0000 0.5000  2 O 2.22
Ti1 0.5000 0.5000 0.0000  4 Y 3.15, 8 Hf 3.26
O1 0.0000 0.0000 0.5000  4 Hf 2.22, 2 Y 2.38

Results
Space group: P4/mmm
Energy: -8.8164 eV per atom



(2)
Hf2TiZnO: relaxed, GGA-PBE.

Cell lengths 4.4452, 4.4452, 4.0006 Å; angles 90.00, 90.00, 90.00 degrees
With the nearest neighbours (Å) after each atom.
Fractional coordinates of all 5 atoms:
Hf1 0.0000 0.5000 0.0000  2 O 2.22
Hf2 0.5000 0.0000 0.0000  2 O 2.22
Ti1 0.0000 0.0000 0.5000  2 O 2.00
Zn1 0.5000 0.5000 0.5000  8 Hf 2.99, 4 Ti 3.14
O1 0.0000 0.0000 0.0000  2 Ti 2.00, 4 Hf 2.22

Results
Space group: P4/mmm
Energy: -7.8462 eV per atom



(3)
HfTi2ZnO: relaxed, GGA-PBE.

Cell lengths 4.0854, 4.0854, 4.4430 Å; angles 90.00, 90.00, 90.00 degrees
With the nearest neighbours (Å) after each atom.
Fractional coordinates of all 5 atoms:
Hf1 0.0000 0.0000 0.0000  2 O 2.22
Ti1 0.0000 0.5000 0.5000  2 O 2.04
Ti2 0.5000 0.0000 0.5000  2 O 2.04
Zn1 0.5000 0.5000 0.0000  4 Hf 2.89, 8 Ti 3.02
O1 0.0000 0.0000 0.5000  4 Ti 2.04, 2 Hf 2.22

Results
Space group: P4/mmm
Energy: -7.4870 eV per atom



(4)
HfTl3O: relaxed, GGA-PBE.

Cell lengths 4.8757, 4.8757, 4.8757 Å; angles 90.00, 90.00, 90.00 degrees
With the nearest neighbours (Å) after each atom.
Fractional coordinates of all 5 atoms:
Hf1 0.0000 0.0000 0.0000  12 Tl 3.45
Tl1 0.0000 0.5000 0.5000  2 O 2.44
Tl2 0.5000 0.0000 0.5000  2 O 2.44
Tl3 0.5000 0.5000 0.0000  2 O 2.44
O1 0.5000 0.5000 0.5000  6 Tl 2.44

Results
Space group: Pm-3m
Energy: -4.1260 eV per atom



Sequential raw formation energy output: -0.97, -1.04, -1.09, 0.28 eV per atom